DFT (PBE) results for a relaxed structure of Dy3TmPb3.

Summary:
Calculated formation energy, eV/atom: -0.22

Unit cell a=8.6618 b=13.1516 c=7.8583 alpha=90.00 beta=90.46 gamma=90.00
Space group C2/m (No. 12)
Inequivalent atoms, fractional coordinates:
Dy  0.0000  0.1482  0.0000 x4
Dy  0.0000  0.2228  0.5000 x4
Dy  0.1316  0.5000  0.1393 x4
Tm  0.2008  0.5000  0.5883 x4
Pb  0.0528  0.0000  0.6972 x4
Pb  0.1662  0.3220  0.8167 x8


DFT (PBE) results for a relaxed structure of TmPaCu2.

Summary:
Calculated formation energy, eV/atom: 0.16
E above lowest polymorph, kJ/mol of formula units: 77.7

Unit cell a=3.3077 b=3.3077 c=26.3539 alpha=90.00 beta=90.00 gamma=120.00
Space group R-3m (No. 166, hexagonal axes)
Inequivalent atoms, fractional coordinates:
Tm  0.0000  0.0000  0.0000 x3
Pa  0.0000  0.0000  0.5000 x3
Cu  0.0000  0.0000  0.2526 x6


DFT (PBE) results for a relaxed structure of Ba2Cd2Pb.

Summary:
Calculated formation energy, eV/atom: -0.37
E above lowest polymorph, kJ/mol of formula units: 14.4

Unit cell a=12.9476 b=5.2926 c=11.2492 alpha=90.00 beta=111.28 gamma=90.00
Space group C2/m (No. 12)
Inequivalent atoms, fractional coordinates:
Ba  0.1021  0.0000  0.3837 x4
Ba  0.1770  0.0000  0.0491 x4
Cd  0.0034  0.5000  0.1385 x4
Cd  0.0950  0.5000  0.6308 x4
Pb  0.2276  0.0000  0.7265 x4


DFT (PBE) results for a relaxed structure of Pm2Ge2Ir2C.

Summary:
Calculated formation energy, eV/atom: -0.70

Unit cell a=11.2588 b=4.1410 c=7.1303 alpha=90.00 beta=128.02 gamma=90.00
Space group C2/m (No. 12)
Inequivalent atoms, fractional coordinates:
Pm  0.0629  0.0000  0.2984 x4
Ge  0.1596  0.5000  0.6901 x4
Ir  0.1941  0.5000  0.0794 x4
C  0.0000  0.5000  0.0000 x2


DFT (PBE) results for a relaxed structure of KBe4Br.

Summary:
Energy relative to the elements, uncorrected, eV per atom: 0.964

Unit cell a=7.4562 b=7.4562 c=7.4562 alpha=90.00 beta=90.00 gamma=90.00
Space group F-43m (No. 216)
Inequivalent atoms, fractional coordinates:
K  0.0000  0.0000  0.0000 x4
Be  0.1384  0.1384  0.6384 x16
Br  0.2500  0.2500  0.2500 x4


DFT (PBE) results for a relaxed structure of Mg2UTaN4.

Summary:
Energy relative to the elements, uncorrected, eV per atom: -1.091

Unit cell a=4.4635 b=4.4635 c=9.2716 alpha=90.00 beta=90.00 gamma=90.00
Space group I-4m2 (No. 119)
Inequivalent atoms, fractional coordinates:
Mg  0.0000  0.0000  0.0000 x2
Mg  0.0000  0.5000  0.2500 x2
U  0.0000  0.5000  0.7500 x2
Ta  0.0000  0.0000  0.5000 x2
N  0.0000  0.0000  0.2589 x4
N  0.0000  0.5000  0.0028 x4